UCrPdO6 | PBE+U | relaxed

a b c (Å): 5.3164 5.3164 8.9131
angles (deg): 90.00 90.00 120.00
Fractional coordinates of all 18 atoms:
U 0.3333 0.6667 0.2500
U 0.6667 0.3333 0.7500
Cr 0.3333 0.6667 0.7500
Cr 0.6667 0.3333 0.2500
Pd 0.0000 0.0000 0.0000
Pd 0.0000 0.0000 0.5000
O 0.0106 0.3472 0.6306
O 0.0106 0.6634 0.8694
O 0.3366 0.3472 0.8694
O 0.3366 0.9894 0.6306
O 0.3472 0.0106 0.1306
O 0.3472 0.3366 0.3694
O 0.6528 0.6634 0.6306
O 0.6528 0.9894 0.8694
O 0.6634 0.0106 0.3694
O 0.6634 0.6528 0.1306
O 0.9894 0.3366 0.1306
O 0.9894 0.6528 0.3694

Properties
**Space group**: P-31c, No. 163
**Fermi-level density of states**: 6.89 states/eV/cell
**DFT total energy**: -7.85 eV per atom